(1)
A relaxed MgBPd3 crystal. Source: the Alexandria database, functional PBE.

a = 5.647 Å, b = 5.647 Å, c = 6.248 Å
α = 116.86°, β = 90.01°, γ = 119.99°
Atoms (fractional coordinates):
Mg (0.605, 0.657, 0.173)
Mg (0.814, 0.076, 0.802)
B (0.040, 0.529, 0.481)
B (0.378, 0.204, 0.494)
Pd (0.123, 0.189, 0.223)
Pd (0.618, 0.188, 0.223)
Pd (0.296, 0.545, 0.752)
Pd (0.123, 0.693, 0.223)
Pd (0.801, 0.545, 0.752)
Pd (0.296, 0.040, 0.752)

Output
ΔE to the lowest computed polymorph   0.12 eV per formula unit
E_form   -0.4612 eV/atom
Density   7.995 g/cm³

---

(2)
A relaxed TbPm2NdSm2 crystal. Source: the Alexandria database, functional PBE.

a = 3.429 Å, b = 6.761 Å, c = 17.908 Å
α = 90.00°, β = 90.00°, γ = 90.00°
Atoms (fractional coordinates):
Tb (0.000, 0.000, 0.000)
Tb (0.500, 0.500, 0.500)
Pm (0.500, 0.765, 0.349)
Pm (0.500, 0.235, 0.651)
Pm (0.000, 0.735, 0.849)
Pm (0.000, 0.265, 0.151)
Nd (0.500, 0.500, 0.000)
Nd (0.000, 0.000, 0.500)
Sm (0.500, 0.261, 0.321)
Sm (0.000, 0.761, 0.179)
Sm (0.500, 0.739, 0.679)
Sm (0.000, 0.239, 0.821)

Output
E_form   0.2512 eV/atom
Density   7.150 g/cm³

---

(3)
A relaxed Pm2Pr3Te6 crystal. Source: the Alexandria database, functional PBE.

a = 7.772 Å, b = 7.749 Å, c = 7.738 Å
α = 80.31°, β = 70.39°, γ = 59.90°
Atoms (fractional coordinates):
Pm (0.165, 0.671, 0.500)
Pm (0.835, 0.329, 0.500)
Pr (0.000, 0.000, 0.000)
Pr (0.332, 0.337, 0.000)
Pr (0.668, 0.663, 0.000)
Te (0.421, 0.676, 0.739)
Te (0.744, 0.000, 0.740)
Te (0.096, 0.324, 0.739)
Te (0.256, 0.000, 0.260)
Te (0.579, 0.324, 0.261)
Te (0.904, 0.676, 0.261)

Output
ΔE to the lowest computed polymorph   0.00 eV per formula unit
Density   6.463 g/cm³
Raw formation energy   -1.4772 eV/atom

---

(4)
A relaxed YCd2CoB crystal. Source: the Alexandria database, functional PBE.

a = 4.943 Å, b = 3.897 Å, c = 4.943 Å
α = 90.00°, β = 90.00°, γ = 90.00°
Atoms (fractional coordinates):
Y (0.500, 0.500, 0.500)
B (0.000, 0.500, 0.000)
Co (0.000, 0.000, 0.000)
Cd (0.000, 0.000, 0.500)
Cd (0.500, 0.000, 0.000)

Output
E_form   0.2601 eV/atom
Density   6.688 g/cm³

---

(5)
A relaxed AcSm2HoEr crystal. Source: the Alexandria database, functional PBE.

a = 5.861 Å, b = 9.839 Å, c = 6.406 Å
α = 109.35°, β = 90.00°, γ = 90.00°
Atoms (fractional coordinates):
Ac (0.250, 0.106, 0.969)
Ac (0.750, 0.894, 0.031)
Sm (0.750, 0.698, 0.432)
Sm (0.250, 0.302, 0.568)
Sm (0.750, 0.497, 0.836)
Sm (0.250, 0.503, 0.164)
Ho (0.250, 0.894, 0.372)
Ho (0.750, 0.106, 0.628)
Er (0.250, 0.689, 0.756)
Er (0.750, 0.311, 0.244)

Output
E_form   0.0450 eV/atom
Density   8.193 g/cm³

---

(6)
A relaxed PrTmPt4 crystal. Source: the Alexandria database, functional PBE.

a = 5.474 Å, b = 5.474 Å, c = 5.474 Å
α = 60.00°, β = 60.00°, γ = 60.00°
Atoms (fractional coordinates):
Pr (0.000, 0.000, 0.000)
Tm (0.250, 0.250, 0.250)
Pt (0.624, 0.624, 0.127)
Pt (0.624, 0.127, 0.624)
Pt (0.624, 0.624, 0.624)
Pt (0.127, 0.624, 0.624)

Output
E_form   -1.0800 eV/atom
Density   15.608 g/cm³

---

(7)
A relaxed Ca2AsF crystal. Source: the Alexandria database, functional PBE.

a = 4.920 Å, b = 4.920 Å, c = 4.920 Å
α = 60.00°, β = 60.00°, γ = 60.00°
Atoms (fractional coordinates):
As (0.500, 0.500, 0.500)
Ca (0.250, 0.250, 0.250)
Ca (0.750, 0.750, 0.750)
F (0.000, 0.000, 0.000)

Output
ΔE to the lowest computed polymorph   0.83 eV per formula unit
Density   3.432 g/cm³
Raw formation energy   -1.8853 eV/atom

---

(8)
A relaxed Ho2Tm6Pu crystal. Source: the Alexandria database, functional PBE.

a = 6.194 Å, b = 6.195 Å, c = 15.107 Å
α = 76.31°, β = 76.31°, γ = 80.85°
Last column: magnetic moment on the atom in μB.
Atoms (fractional coordinates):
Ho (0.420, 0.183, 0.284)  0.11
Ho (0.817, 0.580, 0.216)  0.11
Ho (0.580, 0.817, 0.716)  0.11
Ho (0.183, 0.420, 0.784)  0.11
Tm (0.340, 0.239, 0.538)  0.02
Tm (0.761, 0.660, 0.962)  0.02
Tm (0.660, 0.761, 0.462)  0.02
Tm (0.239, 0.340, 0.038)  0.02
Tm (0.241, 0.903, 0.926)  0.02
Tm (0.097, 0.759, 0.574)  0.02
Tm (0.759, 0.097, 0.074)  0.02
Tm (0.903, 0.241, 0.426)  0.02
Tm (0.337, 0.758, 0.137)  0.01
Tm (0.242, 0.663, 0.363)  0.01
Tm (0.663, 0.242, 0.863)  0.01
Tm (0.758, 0.337, 0.637)  0.01
Pu (0.957, 0.043, 0.250)  5.65
Pu (0.043, 0.957, 0.750)  5.65

Output
E_form   0.1389 eV/atom
Density   9.693 g/cm³

---

(9)
A relaxed Ac3Mg2Sn3 crystal. Source: the Alexandria database, functional PBE.

a = 6.874 Å, b = 9.048 Å, c = 16.524 Å
α = 90.00°, β = 90.00°, γ = 90.00°
Last column: magnetic moment on the atom in μB.
Atoms (fractional coordinates):
Ac (0.131, 0.465, 0.392)  0.05
Ac (0.631, 0.035, 0.608)  0.05
Ac (0.869, 0.535, 0.892)  0.05
Ac (0.369, 0.965, 0.108)  0.05
Ac (0.869, 0.535, 0.608)  0.05
Ac (0.369, 0.965, 0.392)  0.05
Ac (0.131, 0.465, 0.108)  0.05
Ac (0.631, 0.035, 0.892)  0.05
Ac (0.615, 0.318, 0.250)  0.10
Ac (0.115, 0.182, 0.750)  0.10
Ac (0.385, 0.682, 0.750)  0.10
Ac (0.885, 0.818, 0.250)  0.10
Mg (0.891, 0.107, 0.399)  0.00
Mg (0.391, 0.393, 0.601)  0.00
Mg (0.109, 0.893, 0.899)  0.00
Mg (0.609, 0.607, 0.101)  0.00
Mg (0.109, 0.893, 0.601)  0.00
Mg (0.609, 0.607, 0.399)  0.00
Mg (0.891, 0.107, 0.101)  0.00
Mg (0.391, 0.393, 0.899)  0.00
Sn (0.116, 0.177, 0.250)  0.00
Sn (0.616, 0.323, 0.750)  0.00
Sn (0.884, 0.823, 0.750)  0.00
Sn (0.384, 0.677, 0.250)  0.00
Sn (0.602, 0.308, 0.454)  0.00
Sn (0.102, 0.192, 0.546)  0.00
Sn (0.398, 0.692, 0.954)  0.00
Sn (0.898, 0.808, 0.046)  0.00
Sn (0.398, 0.692, 0.546)  0.00
Sn (0.898, 0.808, 0.454)  0.00
Sn (0.602, 0.308, 0.046)  0.00
Sn (0.102, 0.192, 0.954)  0.00

Output
ΔE to the lowest computed polymorph   0.00 eV per formula unit
E_form   -0.5712 eV/atom
Density   7.017 g/cm³

---

(10)
A relaxed PaTaO5 crystal. Source: the Alexandria database, functional PBE.

a = 5.537 Å, b = 5.537 Å, c = 7.684 Å
α = 69.73°, β = 69.73°, γ = 72.45°
Atoms (fractional coordinates):
Pa (0.541, 0.459, 0.250)
Pa (0.459, 0.541, 0.750)
Ta (0.000, 0.000, 0.000)
Ta (0.000, 0.000, 0.500)
O (0.775, 0.730, 0.127)
O (0.290, 0.690, 0.467)
O (0.730, 0.775, 0.627)
O (0.921, 0.079, 0.250)
O (0.310, 0.710, 0.033)
O (0.690, 0.290, 0.967)
O (0.079, 0.921, 0.750)
O (0.270, 0.225, 0.373)
O (0.710, 0.310, 0.533)
O (0.225, 0.270, 0.873)

Output
Density   8.056 g/cm³
Raw formation energy   -3.2491 eV/atom

---

(11)
A relaxed TlCCl2 crystal. Source: the Alexandria database, functional PBE.

a = 8.204 Å, b = 8.204 Å, c = 8.204 Å
α = 33.50°, β = 33.50°, γ = 33.50°
Last column: magnetic moment on the atom in μB.
Atoms (fractional coordinates):
Tl (0.500, 0.500, 0.500)  -0.01
C (0.000, 0.000, 0.000)  0.54
Cl (0.907, 0.907, 0.907)  -0.03
Cl (0.093, 0.093, 0.093)  -0.03

Output
ΔE to the lowest computed polymorph   0.58 eV per formula unit
Density   3.184 g/cm³
Raw formation energy   0.9904 eV/atom

---

(12)
A relaxed Na10B17C3 crystal. Source: the Alexandria database, functional PBE.

a = 7.611 Å, b = 7.611 Å, c = 8.673 Å
α = 90.00°, β = 90.00°, γ = 139.21°
Atoms (fractional coordinates):
Na (0.197, 0.797, 0.001)
Na (0.197, 0.797, 0.499)
Na (0.397, 0.597, 0.001)
Na (0.397, 0.597, 0.499)
Na (0.000, 0.000, 0.000)
Na (0.000, 0.000, 0.500)
Na (0.600, 0.400, 0.000)
Na (0.600, 0.400, 0.500)
Na (0.805, 0.205, 0.999)
Na (0.805, 0.205, 0.501)
B (0.449, 0.849, 0.250)
B (0.120, 0.520, 0.250)
B (0.431, 0.831, 0.750)
B (0.340, 0.336, 0.750)
B (0.649, 0.658, 0.250)
B (0.324, 0.332, 0.250)
B (0.652, 0.663, 0.750)
B (0.936, 0.740, 0.750)
B (0.258, 0.049, 0.250)
B (0.932, 0.724, 0.250)
B (0.263, 0.052, 0.750)
B (0.555, 0.145, 0.750)
B (0.573, 0.164, 0.250)
B (0.880, 0.469, 0.750)
B (0.745, 0.955, 0.750)
B (0.764, 0.973, 0.250)
B (0.069, 0.280, 0.750)
C (0.137, 0.537, 0.750)
C (0.865, 0.460, 0.250)
C (0.060, 0.265, 0.250)

Output
ΔE to the lowest computed polymorph   0.56 eV per formula unit
E_form   0.2234 eV/atom
Density   2.275 g/cm³

---

Result set for V: 14.721, 34.600, 34.528, 19.043, 34.856, 19.331, 21.054, 30.218, 32.116, 14.488, 37.454, 10.941 A^3/atom, one per record in the order listed.
Result set for E: -5.231, -4.472, -5.358, -4.155, -4.492, -6.649, -4.516, -5.452, -4.012, -9.840, -2.830, -4.923 eV per atom, one per record in the order listed.